# CeIrRh2O8 GGA-PBE relaxed
data_CeIrRh2O8
_chemical_formula_sum 'Ce1 Ir1 Rh2 O8'
_cell_length_a 4.728
_cell_length_b 6.479
_cell_length_c 4.734
_cell_angle_alpha 90.00
_cell_angle_beta 90.28
_cell_angle_gamma 90.00
_symmetry_space_group_name_H-M 'P 1'
_symmetry_Int_Tables_number 1
loop_
_symmetry_equiv_pos_as_xyz
'x,y,z'
loop_
_atom_site_label
_atom_site_fract_x
_atom_site_fract_y
_atom_site_fract_z
_atom_site_occupancy
Ce1 0.000 0.000 0.000 1
Ir1 0.000 0.500 0.000 1
Rh1 0.500 0.260 0.500 1
Rh2 0.500 0.740 0.500 1
O1 0.203 0.273 0.798 1
O2 0.203 0.727 0.798 1
O3 0.299 0.500 0.300 1
O4 0.323 0.000 0.325 1
O5 0.677 0.000 0.675 1
O6 0.701 0.500 0.700 1
O7 0.797 0.273 0.202 1
O8 0.797 0.727 0.202 1
# Symmetry   P2/m, No. 10
# Size of the total moment   0.00 μB/f.u.
# Electronic total energy   -0.2603 Ha/atom

# CeSc2IrO8 GGA-PBE relaxed
data_CeSc2IrO8
_chemical_formula_sum 'Ce1 Sc2 Ir1 O8'
_cell_length_a 4.851
_cell_length_b 4.851
_cell_length_c 6.586
_cell_angle_alpha 90.00
_cell_angle_beta 90.00
_cell_angle_gamma 90.76
_symmetry_space_group_name_H-M 'P 1'
_symmetry_Int_Tables_number 1
loop_
_symmetry_equiv_pos_as_xyz
'x,y,z'
loop_
_atom_site_label
_atom_site_fract_x
_atom_site_fract_y
_atom_site_fract_z
_atom_site_occupancy
Ce1 0.000 0.000 0.000 1
Sc1 0.500 0.500 0.253 1
Sc2 0.500 0.500 0.747 1
Ir1 0.000 0.000 0.500 1
O1 0.196 0.804 0.285 1
O2 0.196 0.804 0.715 1
O3 0.285 0.285 0.500 1
O4 0.314 0.314 0.000 1
O5 0.686 0.686 0.000 1
O6 0.715 0.715 0.500 1
O7 0.804 0.196 0.285 1
O8 0.804 0.196 0.715 1
# Symmetry   Cmmm, No. 65
# Size of the total moment   1.78 μB/f.u.
# Electronic total energy   -0.2957 Ha/atom

# CeScIrO6 GGA-PBE relaxed
data_CeScIrO6
_chemical_formula_sum 'Ce2 Sc2 Ir2 O12'
_cell_length_a 4.898
_cell_length_b 4.898
_cell_length_c 9.884
_cell_angle_alpha 90.00
_cell_angle_beta 90.00
_cell_angle_gamma 90.00
_symmetry_space_group_name_H-M 'P 1'
_symmetry_Int_Tables_number 1
loop_
_symmetry_equiv_pos_as_xyz
'x,y,z'
loop_
_atom_site_label
_atom_site_fract_x
_atom_site_fract_y
_atom_site_fract_z
_atom_site_occupancy
Ce1 0.000 0.000 0.000 1
Ce2 0.500 0.500 0.500 1
Sc1 0.000 0.000 0.659 1
Sc2 0.500 0.500 0.159 1
Ir1 0.000 0.000 0.327 1
Ir2 0.500 0.500 0.827 1
O1 0.181 0.181 0.485 1
O2 0.199 0.199 0.178 1
O3 0.219 0.219 0.820 1
O4 0.281 0.719 0.320 1
O5 0.301 0.699 0.678 1
O6 0.319 0.681 0.985 1
O7 0.681 0.319 0.985 1
O8 0.699 0.301 0.678 1
O9 0.719 0.281 0.320 1
O10 0.781 0.781 0.820 1
O11 0.801 0.801 0.178 1
O12 0.819 0.819 0.485 1
# Symmetry   P4_2nm, No. 102
# Size of the total moment   2.00 μB/f.u.
# Electronic total energy   -0.2915 Ha/atom

# CeSmIrO6 GGA-PBE relaxed
data_CeSmIrO6
_chemical_formula_sum 'Ce2 Sm2 Ir2 O12'
_cell_length_a 5.560
_cell_length_b 5.560
_cell_length_c 9.619
_cell_angle_alpha 90.00
_cell_angle_beta 90.00
_cell_angle_gamma 120.00
_symmetry_space_group_name_H-M 'P 1'
_symmetry_Int_Tables_number 1
loop_
_symmetry_equiv_pos_as_xyz
'x,y,z'
loop_
_atom_site_label
_atom_site_fract_x
_atom_site_fract_y
_atom_site_fract_z
_atom_site_occupancy
Ce1 0.000 0.000 0.000 1
Ce2 0.000 0.000 0.500 1
Sm1 0.333 0.667 0.250 1
Sm2 0.667 0.333 0.750 1
Ir1 0.333 0.667 0.750 1
Ir2 0.667 0.333 0.250 1
O1 0.048 0.365 0.632 1
O2 0.048 0.683 0.868 1
O3 0.317 0.365 0.868 1
O4 0.317 0.952 0.632 1
O5 0.365 0.048 0.132 1
O6 0.365 0.317 0.368 1
O7 0.635 0.683 0.632 1
O8 0.635 0.952 0.868 1
O9 0.683 0.048 0.368 1
O10 0.683 0.635 0.132 1
O11 0.952 0.317 0.132 1
O12 0.952 0.635 0.368 1
# Symmetry   P-31c, No. 163
# Size of the total moment   2.04 μB/f.u.
# Electronic total energy   -0.2840 Ha/atom

# Sr2CeIrO6 GGA-PBE relaxed
data_Sr2CeIrO6
_chemical_formula_sum 'Sr4 Ce2 Ir2 O12'
_cell_length_a 5.868
_cell_length_b 5.925
_cell_length_c 10.137
_cell_angle_alpha 90.00
_cell_angle_beta 124.84
_cell_angle_gamma 90.00
_symmetry_space_group_name_H-M 'P 1'
_symmetry_Int_Tables_number 1
loop_
_symmetry_equiv_pos_as_xyz
'x,y,z'
loop_
_atom_site_label
_atom_site_fract_x
_atom_site_fract_y
_atom_site_fract_z
_atom_site_occupancy
Sr1 0.239 0.037 0.249 1
Sr2 0.239 0.463 0.749 1
Sr3 0.761 0.537 0.251 1
Sr4 0.761 0.963 0.751 1
Ce1 0.500 0.000 0.000 1
Ce2 0.500 0.500 0.500 1
Ir1 0.000 0.000 0.500 1
Ir2 0.000 0.500 0.000 1
O1 0.159 0.226 0.960 1
O2 0.159 0.274 0.460 1
O3 0.233 0.702 0.960 1
O4 0.233 0.798 0.460 1
O5 0.311 0.018 0.736 1
O6 0.311 0.482 0.236 1
O7 0.689 0.518 0.764 1
O8 0.689 0.982 0.264 1
O9 0.767 0.202 0.540 1
O10 0.767 0.298 0.040 1
O11 0.841 0.726 0.540 1
O12 0.841 0.774 0.040 1
# Symmetry   P2_1/c, No. 14
# Size of the total moment   0.95 μB/f.u.
# Electronic total energy   -0.2650 Ha/atom

# Sr2CeIr3O12 GGA-PBE relaxed
data_Sr2CeIr3O12
_chemical_formula_sum 'Sr2 Ce1 Ir3 O12'
_cell_length_a 6.751
_cell_length_b 6.751
_cell_length_c 6.751
_cell_angle_alpha 65.25
_cell_angle_beta 65.25
_cell_angle_gamma 65.25
_symmetry_space_group_name_H-M 'P 1'
_symmetry_Int_Tables_number 1
loop_
_symmetry_equiv_pos_as_xyz
'x,y,z'
loop_
_atom_site_label
_atom_site_fract_x
_atom_site_fract_y
_atom_site_fract_z
_atom_site_occupancy
Sr1 0.114 0.114 0.114 1
Sr2 0.886 0.886 0.886 1
Ce1 0.500 0.500 0.500 1
Ir1 0.000 0.500 0.500 1
Ir2 0.500 0.000 0.500 1
Ir3 0.500 0.500 0.000 1
O1 0.095 0.634 0.634 1
O2 0.207 0.207 0.627 1
O3 0.207 0.627 0.207 1
O4 0.366 0.366 0.905 1
O5 0.366 0.905 0.366 1
O6 0.373 0.793 0.793 1
O7 0.627 0.207 0.207 1
O8 0.634 0.095 0.634 1
O9 0.634 0.634 0.095 1
O10 0.793 0.373 0.793 1
O11 0.793 0.793 0.373 1
O12 0.905 0.366 0.366 1
# Symmetry   R-3m, No. 166
# Size of the total moment   0.00 μB/f.u.
# Electronic total energy   -0.2529 Ha/atom

# SrCeIrO6 GGA-PBE relaxed
data_SrCeIrO6
_chemical_formula_sum 'Sr2 Ce2 Ir2 O12'
_cell_length_a 5.142
_cell_length_b 5.142
_cell_length_c 10.275
_cell_angle_alpha 90.00
_cell_angle_beta 90.00
_cell_angle_gamma 90.00
_symmetry_space_group_name_H-M 'P 1'
_symmetry_Int_Tables_number 1
loop_
_symmetry_equiv_pos_as_xyz
'x,y,z'
loop_
_atom_site_label
_atom_site_fract_x
_atom_site_fract_y
_atom_site_fract_z
_atom_site_occupancy
Sr1 0.000 0.000 0.000 1
Sr2 0.500 0.500 0.500 1
Ce1 0.000 0.000 0.662 1
Ce2 0.500 0.500 0.162 1
Ir1 0.000 0.000 0.329 1
Ir2 0.500 0.500 0.829 1
O1 0.171 0.171 0.477 1
O2 0.196 0.196 0.196 1
O3 0.234 0.234 0.817 1
O4 0.266 0.734 0.317 1
O5 0.304 0.696 0.696 1
O6 0.329 0.671 0.977 1
O7 0.671 0.329 0.977 1
O8 0.696 0.304 0.696 1
O9 0.734 0.266 0.317 1
O10 0.766 0.766 0.817 1
O11 0.804 0.804 0.196 1
O12 0.829 0.829 0.477 1
# Symmetry   P4_2nm, No. 102
# Size of the total moment   2.79 μB/f.u.
# Electronic total energy   -0.2616 Ha/atom

# Ce2TlIrO8 GGA-PBE relaxed
data_Ce2TlIrO8
_chemical_formula_sum 'Ce2 Tl1 Ir1 O8'
_cell_length_a 5.005
_cell_length_b 5.005
_cell_length_c 7.046
_cell_angle_alpha 90.00
_cell_angle_beta 90.00
_cell_angle_gamma 90.63
_symmetry_space_group_name_H-M 'P 1'
_symmetry_Int_Tables_number 1
loop_
_symmetry_equiv_pos_as_xyz
'x,y,z'
loop_
_atom_site_label
_atom_site_fract_x
_atom_site_fract_y
_atom_site_fract_z
_atom_site_occupancy
Ce1 0.000 0.000 0.247 1
Ce2 0.000 0.000 0.753 1
Tl1 0.500 0.500 0.500 1
Ir1 0.500 0.500 0.000 1
O1 0.183 0.183 0.500 1
O2 0.221 0.221 0.000 1
O3 0.317 0.683 0.212 1
O4 0.317 0.683 0.788 1
O5 0.683 0.317 0.212 1
O6 0.683 0.317 0.788 1
O7 0.779 0.779 0.000 1
O8 0.817 0.817 0.500 1
# Symmetry   Cmmm, No. 65
# Size of the total moment   1.89 μB/f.u.
# Electronic total energy   -0.2638 Ha/atom

# CeTlIrO4 GGA-PBE relaxed
data_CeTlIrO4
_chemical_formula_sum 'Ce2 Tl2 Ir2 O8'
_cell_length_a 7.756
_cell_length_b 7.756
_cell_length_c 7.756
_cell_angle_alpha 137.98
_cell_angle_beta 126.15
_cell_angle_gamma 70.56
_symmetry_space_group_name_H-M 'P 1'
_symmetry_Int_Tables_number 1
loop_
_symmetry_equiv_pos_as_xyz
'x,y,z'
loop_
_atom_site_label
_atom_site_fract_x
_atom_site_fract_y
_atom_site_fract_z
_atom_site_occupancy
Ce1 0.000 0.000 0.000 1
Ce2 0.500 0.000 0.500 1
Tl1 0.424 0.674 0.750 1
Tl2 0.576 0.326 0.250 1
Ir1 0.000 0.000 0.500 1
Ir2 0.000 0.500 0.000 1
O1 0.120 0.193 0.927 1
O2 0.234 0.807 0.427 1
O3 0.274 0.258 0.484 1
O4 0.274 0.790 0.016 1
O5 0.726 0.210 0.984 1
O6 0.726 0.742 0.516 1
O7 0.766 0.193 0.573 1
O8 0.880 0.807 0.073 1
# Symmetry   Imma, No. 74
# Size of the total moment   0.00 μB/f.u.
# Electronic total energy   -0.2514 Ha/atom

> Among the records above, which one has the highest size of the total moment?

SrCeIrO6